## LiOs2 (GGA-PBEsol)

Data for a relaxed LiOs2 crystal.

Cell: 2.7081 4.3268 7.3601 Å, 90.00 100.60 90.00°
Sites, in units of the cell vectors:
Li: 0.7766 0.7500 0.5532
Li: 0.2234 0.2500 0.4468
Os: 0.1014 0.7500 0.2028
Os: 0.4441 0.7500 0.8883
Os: 0.5559 0.2500 0.1117
Os: 0.8986 0.2500 0.7972

## Properties
Energy of formation from the pure elements: 0.27 eV per atom
Final energy: -8.53 eV per atom